Compound: Pm3AlCd2
Source: Alexandria via LeMat-Bulk
Functional: PBE
Structure: relaxed

Calculated density ... 6.96 g cm⁻³
ΔE to the lowest computed polymorph ... 11 meV per atom
ΔE_f ... -323.4 meV per atom
Total magnetization ... 0.000 μB per atom
N(E_F) ... 8.8 states/eV/cell

Lattice parameters (Å, degrees): 5.362 5.362 6.582 90.00 90.00 120.00
Fractional positions:
Pm 0.000 0.000 0.000
Pm 0.333 0.667 0.659
Pm 0.667 0.333 0.341
Al 0.000 0.000 0.500
Cd 0.333 0.667 0.160
Cd 0.667 0.333 0.840



Compound: UAgSn2
Source: Alexandria via LeMat-Bulk
Functional: PBE
Structure: relaxed

Calculated density ... 10.21 g cm⁻³
ΔE to the lowest computed polymorph ... 0 meV per atom
ΔE_f ... -42.8 meV per atom
Total magnetization ... 0.657 μB per atom
N(E_F) ... 6.4 states/eV/cell

Lattice parameters (Å, degrees): 4.713 4.713 4.273 90.00 90.00 90.00
Fractional positions:
U 0.000 0.000 0.000
Ag 0.500 0.500 0.000
Sn 0.000 0.500 0.500
Sn 0.500 0.000 0.500



Compound: ZrCo2Te
Source: Alexandria via LeMat-Bulk
Functional: PBE
Structure: relaxed

Calculated density ... 8.44 g cm⁻³
Energy relative to the elements, uncorrected ... 190 meV per atom
Total magnetization ... 0.405 μB per atom
N(E_F) ... 7.0 states/eV/cell

Lattice parameters (Å, degrees): 4.542 4.542 4.542 60.00 60.00 60.00
Fractional positions:
Zr 0.000 0.000 0.000
Co 0.500 0.500 0.500
Co 0.750 0.750 0.750
Te 0.250 0.250 0.250



Compound: MnTe2Au
Source: Alexandria via LeMat-Bulk
Functional: PBE
Structure: relaxed

Calculated density ... 9.03 g cm⁻³
ΔE to the lowest computed polymorph ... 523 meV per atom
Energy relative to the elements, uncorrected ... 433 meV per atom
Total magnetization ... 1.105 μB per atom
N(E_F) ... 3.3 states/eV/cell

Lattice parameters (Å, degrees): 5.090 5.090 5.090 60.00 60.00 60.00
Fractional positions:
Mn 0.000 0.000 0.000
Te 0.500 0.500 0.500
Te 0.750 0.750 0.750
Au 0.250 0.250 0.250



| no. | electronic total energy (eV per cell) |
| --- | --- |
| 1 | -21.8 |
| 2 | -22.3 |
| 3 | -25.1 |
| 4 | -17.0 |